DFT (GGA-PBE) results for crystalline HfSn2Ir2 at its relaxed geometry.

Cell: 7.0402 7.0402 3.9203 Å, 90.00 90.00 90.00°
Closest atoms and distances in Å follow each position.
Atoms (fractional coordinates):
Hf 0.0000 0.0000 0.0000  4 Ir 2.74
Hf 0.5000 0.5000 0.0000  4 Ir 2.74
Sn 0.1694 0.3306 0.5000  6 Ir 2.77-2.91
Sn 0.3306 0.8306 0.5000  6 Ir 2.77-2.91
Sn 0.6694 0.1694 0.5000  6 Ir 2.77-2.91
Sn 0.8306 0.6694 0.5000  6 Ir 2.77-2.91
Ir 0.1341 0.6341 0.0000  1 Ir 2.67, 2 Hf 2.74, 6 Sn 2.77-2.91
Ir 0.3659 0.1341 0.0000  1 Ir 2.67, 2 Hf 2.74, 6 Sn 2.77-2.91
Ir 0.6341 0.8659 0.0000  1 Ir 2.67, 2 Hf 2.74, 6 Sn 2.77-2.91
Ir 0.8659 0.3659 0.0000  1 Ir 2.67, 2 Hf 2.74, 6 Sn 2.77-2.91

Values from the calculation:
SG: P4/mbm, No. 127
energy above the lowest structure with this stoichiometry: 0 meV per atom
N(E_F): 6.25 states/eV per cell
ΔH_f (0 K): -0.24 eV/atom

---

DFT (GGA-PBE) results for crystalline BH3 at its relaxed geometry.

Cell: 1.8553 2.0156 6.3142 Å, 90.00 90.00 90.00°
Closest atoms and distances in Å follow each position.
Atoms (fractional coordinates):
B 0.0000 0.0000 0.0000  2 H 1.38
H 0.0000 0.5000 0.1482  2 B 1.38
H 0.5000 0.0000 0.5210  2 H 1.01
H 0.5000 0.5000 0.5200  2 H 1.01

Values from the calculation:
SG: Pmm2, No. 25
energy above the lowest structure with this stoichiometry: 712 meV per atom
N(E_F): 0.67 states/eV per cell

---

DFT (GGA-PBE) results for crystalline CsTe2Ir2 at its relaxed geometry.

Cell: 8.5595 8.5595 8.5595 Å, 151.78 151.78 40.33°
Closest atoms and distances in Å follow each position.
Atoms (fractional coordinates):
Cs 0.0000 0.0000 0.0000  8 Te 3.80, 4 Cs 4.17
Te 0.3505 0.3505 0.0000  4 Ir 2.64
Te 0.6495 0.6495 0.0000  4 Ir 2.64
Ir 0.2500 0.7500 0.5000  4 Te 2.64, 4 Ir 2.95
Ir 0.7500 0.2500 0.5000  4 Te 2.64, 4 Ir 2.95

Values from the calculation:
SG: I4/mmm, No. 139
N(E_F): 2.45 states/eV per cell
energy relative to the elements, uncorrected: -91 kJ/mol of formula units

---

DFT (GGA-PBE) results for crystalline Pm3CoGe2 at its relaxed geometry.

Cell: 7.3679 7.3679 7.3679 Å, 65.36 65.36 65.36°
Closest atoms and distances in Å follow each position.
Atoms (fractional coordinates):
Pm 0.0560 0.7500 0.4440  4 Ge 2.94-3.08, 2 Co 3.12
Pm 0.2500 0.5560 0.9440  4 Ge 2.94-3.08, 2 Co 3.12
Pm 0.4440 0.0560 0.7500  4 Ge 2.94-3.08, 2 Co 3.12
Pm 0.5560 0.9440 0.2500  4 Ge 2.94-3.08, 2 Co 3.12
Pm 0.7500 0.4440 0.0560  4 Ge 2.94-3.08, 2 Co 3.12
Pm 0.9440 0.2500 0.5560  4 Ge 2.94-3.08, 2 Co 3.12
Co 0.0000 0.0000 0.0000  2 Ge 2.43
Co 0.5000 0.5000 0.5000  2 Ge 2.43
Ge 0.1408 0.1408 0.1408  1 Co 2.43
Ge 0.3592 0.3592 0.3592  1 Co 2.43
Ge 0.6408 0.6408 0.6408  1 Co 2.43
Ge 0.8592 0.8592 0.8592  1 Co 2.43

Values from the calculation:
SG: R-3c, No. 167
energy above the lowest structure with this stoichiometry: 222 meV per atom
N(E_F): 9.57 states/eV per cell
ΔH_f (0 K): -0.46 eV/atom

---

DFT (GGA-PBE) results for crystalline SrLiHfBe2 at its relaxed geometry.

Cell: 4.5364 4.5364 4.5318 Å, 90.00 90.00 90.00°
Closest atoms and distances in Å follow each position.
Atoms (fractional coordinates):
Sr 0.0000 0.0000 0.0000  2 Li 2.27
Li 0.0000 0.0000 0.5000  2 Sr 2.27, 4 Be 2.27
Hf 0.5000 0.5000 0.0000  8 Be 3.21, 4 Sr 3.21
Be 0.0000 0.5000 0.5000  2 Li 2.27
Be 0.5000 0.0000 0.5000  2 Li 2.27

Values from the calculation:
SG: P4/mmm, No. 123
N(E_F): 3.53 states/eV per cell
ΔH_f (0 K): 1.03 eV/atom

---

DFT (GGA-PBE) results for crystalline SrThCuPt at its relaxed geometry.

Cell: 5.1450 5.1450 5.1450 Å, 60.00 60.00 60.00°
Closest atoms and distances in Å follow each position.
Atoms (fractional coordinates):
Sr 0.0000 0.0000 0.0000  4 Cu 3.15, 4 Pt 3.15
Th 0.5000 0.5000 0.5000  4 Cu 3.15, 4 Pt 3.15
Cu 0.7500 0.7500 0.7500  4 Th 3.15, 4 Sr 3.15
Pt 0.2500 0.2500 0.2500  4 Th 3.15, 4 Sr 3.15

Values from the calculation:
SG: F-43m, No. 216
N(E_F): 2.37 states/eV per cell
ΔH_f (0 K): -0.43 eV/atom